(1)
Below is Cr2OsPb after structural relaxation, with properties calculated at the GGA-PBE level.

Lattice parameters (Å, degrees): 7.132 7.132 5.797 52.04 52.04 90.00
Sites, in units of the cell vectors:
Pb  0.000  0.000  0.000
Pb  0.750  0.250  0.500
Cr  0.572  0.125  0.250
Cr  0.178  0.625  0.250
Cr  0.375  0.428  0.750
Cr  0.875  0.822  0.750
Os  0.500  0.500  0.000
Os  0.250  0.750  0.500

As for the energy relative to the elements: 0.986 eV per atom.


(2)
Below is RbGa7Sn12 after structural relaxation, with properties calculated at the GGA-PBE level.

Lattice parameters (Å, degrees): 9.215 9.215 9.215 109.47 109.47 109.47
Sites, in units of the cell vectors:
Rb  0.000  0.000  0.000
Ga  0.500  0.000  0.500
Ga  0.500  0.500  0.000
Ga  0.000  0.500  0.500
Ga  0.000  0.000  0.500
Ga  0.500  0.000  0.000
Ga  0.500  0.500  0.500
Ga  0.000  0.500  0.000
Sn  0.352  0.222  0.574
Sn  0.352  0.778  0.130
Sn  0.648  0.778  0.426
Sn  0.648  0.222  0.870
Sn  0.574  0.352  0.222
Sn  0.870  0.648  0.222
Sn  0.426  0.648  0.778
Sn  0.130  0.352  0.778
Sn  0.778  0.130  0.352
Sn  0.222  0.870  0.648
Sn  0.222  0.574  0.352
Sn  0.778  0.426  0.648

As for the energy relative to the elements: 0.109 eV per atom.


(3)
Below is Pa2BeSi3Rh4 after structural relaxation, with properties calculated at the GGA-PBE level.

Lattice parameters (Å, degrees): 4.048 4.048 9.905 90.00 90.00 90.00
Sites, in units of the cell vectors:
Pa  0.500  0.000  0.258
Pa  0.000  0.500  0.742
Be  0.500  0.500  0.500
Si  0.000  0.000  0.500
Si  0.500  0.000  0.866
Si  0.000  0.500  0.134
Rh  0.500  0.500  0.000
Rh  0.000  0.000  0.000
Rh  0.500  0.000  0.626
Rh  0.000  0.500  0.374

As for the uncorrected formation energy: -0.90 eV per atom.


(4)
Below is ErPuCdGe after structural relaxation, with properties calculated at the GGA-PBE level.

Lattice parameters (Å, degrees): 5.154 5.154 5.154 60.00 60.00 60.00
Sites, in units of the cell vectors:
Cd  0.750  0.750  0.750
Ge  0.250  0.250  0.250
Er  0.500  0.500  0.500
Pu  0.000  0.000  0.000

As for the energy relative to the elements: -0.303 eV per atom.


(5)
Below is Na2CaZnF8 after structural relaxation, with properties calculated at the GGA-PBE level.

Lattice parameters (Å, degrees): 3.804 5.706 7.351 87.71 82.84 92.58
Sites, in units of the cell vectors:
Na  0.498  0.462  0.754
Na  0.502  0.538  0.246
Ca  0.000  0.000  0.500
Zn  0.000  0.000  0.000
F  0.023  0.802  0.224
F  0.573  0.775  0.962
F  0.984  0.274  0.243
F  0.977  0.198  0.776
F  0.427  0.225  0.038
F  0.016  0.726  0.757
F  0.474  0.757  0.516
F  0.526  0.243  0.484

As for the uncorrected formation energy: -2.43 eV per atom.


(6)
Below is K2CoHg after structural relaxation, with properties calculated at the GGA-PBE level.

Lattice parameters (Å, degrees): 5.448 5.448 5.448 60.00 60.00 60.00
Sites, in units of the cell vectors:
Co  0.500  0.500  0.500
Hg  0.250  0.250  0.250
K  0.000  0.000  0.000
K  0.750  0.750  0.750

As for the energy relative to the elements: 0.627 eV per atom.


(7)
Below is Pr4ThCd after structural relaxation, with properties calculated at the GGA-PBE level.

Lattice parameters (Å, degrees): 3.667 3.667 14.824 90.00 90.00 90.00
Sites, in units of the cell vectors:
Pr  0.500  0.500  0.168
Pr  0.000  0.000  0.645
Pr  0.000  0.000  0.355
Pr  0.500  0.500  0.832
Th  0.000  0.000  0.000
Cd  0.500  0.500  0.500

As for the energy relative to the elements: -0.076 eV per atom.


(8)
Below is K2Pr2Br7 after structural relaxation, with properties calculated at the GGA-PBE level.

Lattice parameters (Å, degrees): 7.786 7.330 7.330 82.92 89.97 89.97
Sites, in units of the cell vectors:
K  0.500  0.756  0.244
K  0.500  0.244  0.756
Pr  0.000  0.721  0.721
Pr  0.000  0.279  0.279
Br  0.240  0.000  0.500
Br  0.760  0.500  0.000
Br  0.760  0.000  0.500
Br  0.240  0.500  0.000
Br  0.000  0.000  0.000
Br  0.770  0.500  0.500
Br  0.230  0.500  0.500

As for the uncorrected formation energy: -1.71 eV per atom.


no.,size of the total moment (μB/f.u.)
1,3.63
2,0.00
3,0.00
4,6.41
5,2.02
6,1.26
7,0.00
8,1.04